Density functional theory data (PBE) for a relaxed SnC3S crystal.

ΔE to the lowest computed polymorph = 788.6 meV/atom
Calculated density = 3.818 g cm⁻³
Formation energy from raw total energies = 16.13 eV/f.u.

Cell lengths 4.3313, 4.3313, 4.3313 Å; angles 90.00, 90.00, 90.00 degrees
Site moments in Bohr magnetons follow the coordinates.
Positions (direct):
C 0.0000 0.5000 0.0000  0.36
C 0.0000 0.0000 0.5000  0.28
C 0.5000 0.0000 0.0000  0.27
S 0.5000 0.5000 0.5000  -0.16
Sn 0.0000 0.0000 0.0000  -0.01



Density functional theory data (PBE) for a relaxed SnC3S crystal.

ΔE to the lowest computed polymorph = 0.0 meV/atom
Calculated density = 5.805 g cm⁻³
Formation energy from raw total energies = 12.19 eV/f.u.

Cell lengths 3.7667, 3.7667, 3.7667 Å; angles 90.00, 90.00, 90.00 degrees
Positions (direct):
C 0.0000 0.5000 0.0000
C 0.0000 0.0000 0.5000
C 0.5000 0.0000 0.0000
S 0.0000 0.0000 0.0000
Sn 0.5000 0.5000 0.5000



Density functional theory data (PBE) for a relaxed SnCS2 crystal.

ΔE to the lowest computed polymorph = 651.1 meV/atom
Calculated density = 4.707 g cm⁻³
Formation energy from raw total energies = 4.51 eV/f.u.

Cell lengths 8.1789, 8.1789, 8.1789 Å; angles 22.24, 22.24, 22.24 degrees
Positions (direct):
C 0.5000 0.5000 0.5000
S 0.8834 0.8834 0.8834
S 0.1166 0.1166 0.1166
Sn 0.0000 0.0000 0.0000



Density functional theory data (PBE) for a relaxed SnCS2 crystal.

ΔE to the lowest computed polymorph = 1066.8 meV/atom
Calculated density = 4.870 g cm⁻³
Formation energy from raw total energies = 6.18 eV/f.u.

Cell lengths 4.5461, 4.5461, 4.5461 Å; angles 60.00, 60.00, 60.00 degrees
Positions (direct):
C 0.0000 0.0000 0.0000
S 0.2500 0.2500 0.2500
S 0.7500 0.7500 0.7500
Sn 0.5000 0.5000 0.5000



Density functional theory data (PBE) for a relaxed SnC2S crystal.

ΔE to the lowest computed polymorph = 865.9 meV/atom
Calculated density = 5.637 g cm⁻³
Formation energy from raw total energies = 9.82 eV/f.u.

Cell lengths 4.1759, 4.1759, 4.1759 Å; angles 60.00, 60.00, 60.00 degrees
Positions (direct):
C 0.2500 0.2500 0.2500
C 0.7500 0.7500 0.7500
S 0.0000 0.0000 0.0000
Sn 0.5000 0.5000 0.5000



Density functional theory data (PBE) for a relaxed Sn2CS crystal.

ΔE to the lowest computed polymorph = 0.0 meV/atom
Calculated density = 5.559 g cm⁻³
Formation energy from raw total energies = 2.37 eV/f.u.

Cell lengths 6.3928, 6.3928, 6.1131 Å; angles 58.47, 58.47, 90.00 degrees
Positions (direct):
C 0.5000 0.5000 0.0000
C 0.2500 0.7500 0.5000
S 0.0000 0.0000 0.0000
S 0.7500 0.2500 0.5000
Sn 0.5630 0.1250 0.2500
Sn 0.1870 0.6250 0.2500
Sn 0.3750 0.4370 0.7500
Sn 0.8750 0.8130 0.7500



Density functional theory data (PBE) for a relaxed SnCS2 crystal.

ΔE to the lowest computed polymorph = 0.0 meV/atom
Calculated density = 3.607 g cm⁻³
Formation energy from raw total energies = 1.91 eV/f.u.

Cell lengths 8.1409, 8.1409, 8.1409 Å; angles 25.76, 25.76, 25.76 degrees
Positions (direct):
C 0.0000 0.0000 0.0000
S 0.9333 0.9333 0.9333
S 0.0667 0.0667 0.0667
Sn 0.5000 0.5000 0.5000



Density functional theory data (PBE) for a relaxed Sn2CS crystal.

ΔE to the lowest computed polymorph = 561.6 meV/atom
Calculated density = 6.297 g cm⁻³
Formation energy from raw total energies = 4.61 eV/f.u.

Cell lengths 4.7173, 4.7173, 4.7173 Å; angles 60.00, 60.00, 60.00 degrees
Positions (direct):
C 0.0000 0.0000 0.0000
S 0.5000 0.5000 0.5000
Sn 0.2500 0.2500 0.2500
Sn 0.7500 0.7500 0.7500



Density functional theory data (PBE) for a relaxed Ti2SnCS crystal.

ΔE to the lowest computed polymorph = 2074.0 meV/atom
Calculated density = 3.298 g cm⁻³
Formation energy from raw total energies = 11.20 eV/f.u.

Cell lengths 5.1776, 4.8552, 5.1776 Å; angles 90.00, 90.00, 90.00 degrees
Site moments in Bohr magnetons follow the coordinates.
Positions (direct):
C 0.5000 0.5000 0.5000  -0.10
S 0.0000 0.5000 0.0000  -0.02
Sn 0.0000 0.0000 0.0000  0.04
Ti 0.0000 0.0000 0.5000  -0.80
Ti 0.5000 0.0000 0.0000  -0.80



Density functional theory data (PBE) for a relaxed Ti2SnCS crystal.

ΔE to the lowest computed polymorph = 0.0 meV/atom
Calculated density = 5.440 g cm⁻³
Formation energy from raw total energies = 0.83 eV/f.u.

Cell lengths 4.3392, 4.1914, 4.3392 Å; angles 90.00, 90.00, 90.00 degrees
Positions (direct):
C 0.0000 0.0000 0.0000
S 0.0000 0.5000 0.0000
Sn 0.5000 0.5000 0.5000
Ti 0.0000 0.0000 0.5000
Ti 0.5000 0.0000 0.0000



Density functional theory data (PBE) for a relaxed TlSn2CS crystal.

Calculated density = 6.883 g cm⁻³
Formation energy from raw total energies = 4.54 eV/f.u.

Cell lengths 5.7691, 3.5220, 5.7691 Å; angles 90.00, 90.00, 90.00 degrees
Positions (direct):
S 0.0000 0.0000 0.0000
C 0.0000 0.5000 0.0000
Tl 0.5000 0.5000 0.5000
Sn 0.0000 0.0000 0.5000
Sn 0.5000 0.0000 0.0000



Density functional theory data (PBE) for a relaxed SnWC2S crystal.

Calculated density = 7.079 g cm⁻³
Formation energy from raw total energies = 5.24 eV/f.u.

Cell lengths 4.0830, 5.0464, 4.0830 Å; angles 90.00, 90.00, 90.00 degrees
Positions (direct):
C 0.0000 0.0000 0.5000
C 0.5000 0.0000 0.0000
S 0.0000 0.5000 0.0000
Sn 0.5000 0.5000 0.5000
W 0.0000 0.0000 0.0000